Material: Mn3Al12W5
Method: DFT, PBE-GGA
State: optimized geometry

abc: 12.861 12.861 12.861
angles: 109.47 109.47 109.47
Positions (direct):
Mn1 0.125 0.250 0.375
Mn2 0.125 0.375 0.750
Mn3 0.250 0.375 0.125
Mn4 0.250 0.875 0.625
Mn5 0.375 0.125 0.250
Mn6 0.375 0.750 0.125
Mn7 0.625 0.250 0.875
Mn8 0.625 0.875 0.750
Mn9 0.750 0.125 0.375
Mn10 0.750 0.625 0.875
Mn11 0.875 0.625 0.250
Mn12 0.875 0.750 0.625
Al1 0.072 0.231 0.143
Al2 0.072 0.340 0.928
Al3 0.072 0.643 0.412
Al4 0.072 0.928 0.660
Al5 0.088 0.731 0.660
Al6 0.088 0.857 0.428
Al7 0.143 0.072 0.231
Al8 0.143 0.572 0.912
Al9 0.160 0.231 0.588
Al10 0.160 0.428 0.572
Al11 0.231 0.143 0.072
Al12 0.231 0.588 0.160
Al13 0.269 0.340 0.912
Al14 0.269 0.428 0.357
Al15 0.340 0.912 0.269
Al16 0.340 0.928 0.072
Al17 0.357 0.269 0.428
Al18 0.357 0.588 0.928
Al19 0.412 0.072 0.643
Al20 0.412 0.840 0.769
Al21 0.428 0.088 0.857
Al22 0.428 0.357 0.269
Al23 0.428 0.572 0.160
Al24 0.428 0.840 0.572
Al25 0.572 0.160 0.428
Al26 0.572 0.428 0.840
Al27 0.572 0.643 0.731
Al28 0.572 0.912 0.143
Al29 0.588 0.160 0.231
Al30 0.588 0.928 0.357
Al31 0.643 0.412 0.072
Al32 0.643 0.731 0.572
Al33 0.660 0.072 0.928
Al34 0.660 0.088 0.731
Al35 0.731 0.572 0.643
Al36 0.731 0.660 0.088
Al37 0.769 0.412 0.840
Al38 0.769 0.857 0.928
Al39 0.840 0.572 0.428
Al40 0.840 0.769 0.412
Al41 0.857 0.428 0.088
Al42 0.857 0.928 0.769
Al43 0.912 0.143 0.572
Al44 0.912 0.269 0.340
Al45 0.928 0.072 0.340
Al46 0.928 0.357 0.588
Al47 0.928 0.660 0.072
Al48 0.928 0.769 0.857
W1 0.000 0.000 0.000
W2 0.000 0.000 0.500
W3 0.000 0.500 0.000
W4 0.000 0.500 0.500
W5 0.125 0.750 0.875
W6 0.125 0.875 0.250
W7 0.250 0.125 0.875
W8 0.250 0.625 0.375
W9 0.375 0.250 0.625
W10 0.375 0.625 0.750
W11 0.500 0.000 0.000
W12 0.500 0.000 0.500
W13 0.500 0.500 0.000
W14 0.500 0.500 0.500
W15 0.625 0.375 0.250
W16 0.625 0.750 0.375
W17 0.750 0.375 0.625
W18 0.750 0.875 0.125
W19 0.875 0.125 0.750
W20 0.875 0.250 0.125

Output
VASP energy (eV per atom): -5.74
Fermi-level density of states (states/eV per atom): 0.976
Energy relative to the elements (meV/atom): 1120